VASP calculation (PBE) on a relaxed structure of NdDy2Ho3As6.

Values from the calculation:
Calculated formation energy ... -1.522 eV per atom
ρ ... 7.82 g cm⁻³
E_tot ... -0.2262 hartree per atom
Volume ... 25.02 A^3/atom
Space-group type ... C2/m (12)

Unit cell a=4.1377 b=8.2707 c=9.2469 alpha=102.91 beta=102.93 gamma=90.00
Fractional positions:
Nd  0.5000  0.0000  0.0000
Dy  0.8325  0.6656  0.6650
Dy  0.1675  0.3344  0.3350
Ho  0.5000  0.5000  0.0000
Ho  0.8338  0.1675  0.6675
Ho  0.1662  0.8325  0.3325
As  0.3306  0.9159  0.6611
As  0.6664  0.5838  0.3328
As  0.6694  0.0841  0.3389
As  0.0001  0.2575  0.0003
As  0.9999  0.7425  0.9997
As  0.3336  0.4162  0.6672

VASP calculation (PBE) on a relaxed structure of Nd2DyHo3As6.

Values from the calculation:
Calculated formation energy ... -1.516 eV per atom
ρ ... 7.58 g cm⁻³
E_tot ... -0.2265 hartree per atom
Volume ... 25.48 A^3/atom
Space-group type ... C2/m (12)

Unit cell a=4.1639 b=8.3207 c=9.3032 alpha=102.89 beta=102.93 gamma=90.00
Fractional positions:
Nd  0.8342  0.6678  0.6684
Nd  0.1658  0.3322  0.3316
Dy  0.5000  0.0000  0.0000
Ho  0.5000  0.5000  0.0000
Ho  0.8329  0.1659  0.6657
Ho  0.1671  0.8341  0.3343
As  0.3335  0.9241  0.6670
As  0.6644  0.5894  0.3287
As  0.6665  0.0759  0.3330
As  0.9972  0.2491  0.9944
As  0.0028  0.7509  0.0056
As  0.3356  0.4106  0.6713